Density functional theory data (PBE-GGA) for Na2LiTaS4 after structural relaxation.

Structure (POSCAR):
```
Na2LiTaS4
1.0
-2.6337 -4.5150 -4.4058
5.7058 -3.7414 0.4233
-2.3856 -3.1155 4.6188
Na Li S Ta
2 1 4 1
direct
0.5000 0.0000 0.0000 Na
0.0000 0.5000 0.0000 Na
0.0000 0.0000 0.5000 Li
0.1908 0.1908 0.7764 S
0.8092 0.8092 0.7764 S
0.8092 0.1908 0.2236 S
0.1908 0.8092 0.2236 S
0.0000 0.0000 0.0000 Ta
```

* size of the total moment: 0.000 μB/atom
* symmetry: P-42m
* E: -5.262 eV per atom
* mass density: 2.123 g/cm3